Entry 1:
The following is a GGA+U calculation of a relaxed structure of ZrMn2GaO6, from Alexandria.

Cell: 5.2368 5.2373 5.6081 Å, 117.70 90.03 119.88°
Closest atoms and distances in Å follow each position.
Space group P1 (No. 1)
One atom of each set of equivalent atoms:
Zr 0.0000 0.0000 0.0000 (multiplicity 1)  6 O 2.05-2.25
Mn 0.2033 0.4052 0.6069 (multiplicity 1)  6 O 1.99-2.03
Mn 0.7262 0.4516 0.1777 (multiplicity 1)  4 O 2.11-2.36
Ga 0.5126 0.0214 0.5341 (multiplicity 1)  6 O 1.96-2.11
O 0.1450 0.5379 0.3423 (multiplicity 1)  1 Ga 1.97, 2 Mn 1.99-2.12
O 0.3029 0.2216 0.8151 (multiplicity 1)  1 Mn 2.03, 1 Zr 2.06, 1 Ga 2.10
O 0.3966 0.1992 0.3427 (multiplicity 1)  1 Ga 1.97, 2 Mn 2.00-2.11
O 0.5940 0.8953 0.8150 (multiplicity 1)  1 Mn 2.03, 1 Zr 2.05, 1 Ga 2.08
O 0.8042 0.9459 0.3416 (multiplicity 1)  1 Ga 1.96, 2 Mn 2.01-2.11
O 0.9225 0.5144 0.8143 (multiplicity 1)  1 Mn 2.02, 1 Zr 2.06, 1 Ga 2.11

Fermi-level density of states (states/eV per atom): 0.000

Entry 2:
The following is a GGA+U calculation of a relaxed structure of BaSrEuVO6, from Alexandria.

Cell: 8.3680 8.3680 8.3680 Å, 90.00 90.00 90.00°
Closest atoms and distances in Å follow each position.
Space group F-43m (No. 216)
One atom of each set of equivalent atoms:
Ba 0.0000 0.0000 0.0000 (multiplicity 4)  12 O 2.96
Sr 0.0000 0.0000 0.5000 (multiplicity 4)  12 O 2.96
Eu 0.2500 0.2500 0.2500 (multiplicity 4)  6 O 2.28
V 0.2500 0.2500 0.7500 (multiplicity 4)  6 O 1.91
O 0.0219 0.2500 0.7500 (multiplicity 24)  1 V 1.91

Fermi-level density of states (states/eV per atom): 0.927

Number 1: spin magnetization 7.00 μB per cell, calculated total energy -7.65 eV per atom. Number 2: spin magnetization 24.00 μB per cell, calculated total energy -7.60 eV per atom.